{
  "formula": "BiH",
  "functional": "PBE",
  "state": "optimized geometry",
  "final_energy_ev_per_atom": -3.088,
  "mass_density_g_cm3": 8.29,
  "lattice": [[-3.4779, 3.4779, 3.4779], [3.4779, -3.4779, 3.4779], [3.4779, 3.4779, -3.4779]],
  "species": ["Bi", "Bi", "Bi", "Bi", "H", "H", "H", "H"],
  "fractional_positions": [[0.0000, 0.0000, 0.4931], [0.0000, 0.4931, 0.0000], [0.4931, 0.0000, 0.0000], [0.5069, 0.5069, 0.5069], [0.0000, 0.0000, 0.8108], [0.0000, 0.8108, 0.0000], [0.1892, 0.1892, 0.1892], [0.8108, 0.0000, 0.0000]]
}